This record from the Alexandria database describes crystalline LiTcPd at its relaxed geometry. The functional is PBE.

Summary:
Energy of formation from the pure elements, eV/atom: 0.576
Total DFT energy (no corrections), eV per atom: -5.25
M_tot, μB/cell: 0.000
Energy relative to the lowest polymorph listed for this composition, meV per atom: 694
Fermi-level density of states, states/eV/cell: 3.7
Space group: F-43m

a = 4.1223 Å, b = 4.1223 Å, c = 4.1223 Å
α = 60.00°, β = 60.00°, γ = 60.00°
Last column: nearest neighbours and their distance in Å.
Positions (direct):
1 Tc 0.7500 0.7500 0.7500  4 Pd 2.52
2 Li 0.2500 0.2500 0.2500  4 Pd 2.52
3 Pd 0.5000 0.5000 0.5000  4 Tc 2.52, 4 Li 2.52